(1)
## LiVGaO4 (GGA-PBEsol)

Data for a relaxed LiVGaO4 crystal.

Cell and atoms, written as CIF:
```
data_LiVGaO4
_space_group_name_H-M_alt 'I m m a'
_space_group_IT_number 74
_space_group_name_Hall '-I 2b 2'
_cell_length_a 5.666
_cell_length_b 5.864
_cell_length_c 8.424
_cell_angle_alpha 90.00
_cell_angle_beta 90.00
_cell_angle_gamma 90.00
loop_
_atom_site_label
_atom_site_fract_x
_atom_site_fract_y
_atom_site_fract_z
_atom_site_occupancy
Li1 0.000 0.250 0.121 1
V1 0.250 0.250 0.750 1
Ga1 0.000 0.000 0.500 1
O1 0.000 0.025 0.743 1
O2 0.231 0.250 0.520 1
```

## Properties
Total magnetization ... 4.01 Bohr magnetons per cell
Calculated total energy ... -7.268 eV per atom
Crystal system ... orthorhombic
D(E_F) ... 3.166 states/eV/f.u.
Formation energy without anion corrections ... -2.1345 eV per atom

***

(2)
## Zn2FeCo (GGA-PBEsol)

Data for a relaxed Zn2FeCo crystal.

Cell and atoms, written as CIF:
```
data_Zn2FeCo
_space_group_name_H-M_alt 'P m m 2'
_space_group_IT_number 25
_space_group_name_Hall 'P 2 -2'
_cell_length_a 2.574
_cell_length_b 4.098
_cell_length_c 4.456
_cell_angle_alpha 90.00
_cell_angle_beta 90.00
_cell_angle_gamma 90.00
loop_
_atom_site_label
_atom_site_fract_x
_atom_site_fract_y
_atom_site_fract_z
_atom_site_occupancy
Zn1 0.000 0.000 0.000 1
Zn2 0.000 0.500 0.322 1
Fe1 0.500 0.500 0.805 1
Co1 0.500 0.000 0.517 1
```

## Properties
Total magnetization ... 3.27 Bohr magnetons per cell
Calculated total energy ... -4.956 eV per atom
Crystal system ... orthorhombic
D(E_F) ... 3.753 states/eV/f.u.
Formation energy from the elements ... 0.011 eV per atom
Polymorph energy (0 for the lowest one) ... 0.087 eV/f.u.

***

(3)
## La2AlSi (GGA-PBEsol)

Data for a relaxed La2AlSi crystal.

Cell and atoms, written as CIF:
```
data_La2AlSi
_space_group_name_H-M_alt 'P 4 m m'
_space_group_IT_number 99
_space_group_name_Hall 'P 4 -2'
_cell_length_a 3.389
_cell_length_b 3.389
_cell_length_c 8.785
_cell_angle_alpha 90.00
_cell_angle_beta 90.00
_cell_angle_gamma 90.00
loop_
_atom_site_label
_atom_site_fract_x
_atom_site_fract_y
_atom_site_fract_z
_atom_site_occupancy
La1 0.000 0.000 0.000 1
La2 0.500 0.500 0.383 1
Al1 0.500 0.500 0.753 1
Si1 0.000 0.000 0.619 1
```

## Properties
Total magnetization ... 0.00 Bohr magnetons per cell
Calculated total energy ... -5.345 eV per atom
Crystal system ... tetragonal
D(E_F) ... 3.210 states/eV/f.u.
Formation energy without anion corrections ... -0.2125 eV per atom

***

(4)
## Ba2Si2Br (GGA-PBEsol)

Data for a relaxed Ba2Si2Br crystal.

Cell and atoms, written as CIF:
```
data_Ba2Si2Br
_space_group_name_H-M_alt 'I 4/m m m'
_space_group_IT_number 139
_space_group_name_Hall '-I 4 2'
_cell_length_a 6.039
_cell_length_b 6.039
_cell_length_c 9.598
_cell_angle_alpha 90.00
_cell_angle_beta 90.00
_cell_angle_gamma 90.00
loop_
_atom_site_label
_atom_site_fract_x
_atom_site_fract_y
_atom_site_fract_z
_atom_site_occupancy
Ba1 0.000 0.500 0.250 1
Si1 0.000 0.000 0.113 1
Br1 0.000 0.000 0.500 1
```

## Properties
Total magnetization ... 0.00 Bohr magnetons per cell
Calculated total energy ... -4.040 eV per atom
Crystal system ... tetragonal
D(E_F) ... 2.431 states/eV/f.u.
Polymorph energy (0 for the lowest one) ... 0.810 eV/f.u.
Formation energy without anion corrections ... -0.5079 eV per atom

***

(5)
## Cs2SnBr6 (GGA-PBEsol)

Data for a relaxed Cs2SnBr6 crystal.

Cell and atoms, written as CIF:
```
data_Cs2SnBr6
_space_group_name_H-M_alt 'F m -3 m'
_space_group_IT_number 225
_space_group_name_Hall '-F 4 2 3'
_cell_length_a 10.783
_cell_length_b 10.783
_cell_length_c 10.783
_cell_angle_alpha 90.00
_cell_angle_beta 90.00
_cell_angle_gamma 90.00
loop_
_atom_site_label
_atom_site_fract_x
_atom_site_fract_y
_atom_site_fract_z
_atom_site_occupancy
Cs1 0.250 0.250 0.250 1
Sn1 0.000 0.000 0.000 1
Br1 0.000 0.000 0.243 1
```

## Properties
Total magnetization ... 0.00 Bohr magnetons per cell
Calculated total energy ... -3.175 eV per atom
Crystal system ... cubic
Formation energy without anion corrections ... -1.2452 eV per atom

***

(6)
## La2SnS5 (GGA-PBEsol)

Data for a relaxed La2SnS5 crystal.

Cell and atoms, written as CIF:
```
data_La2SnS5
_space_group_name_H-M_alt 'P b a m'
_space_group_IT_number 55
_space_group_name_Hall '-P 2 2ab'
_cell_length_a 7.765
_cell_length_b 11.184
_cell_length_c 4.009
_cell_angle_alpha 90.00
_cell_angle_beta 90.00
_cell_angle_gamma 90.00
loop_
_atom_site_label
_atom_site_fract_x
_atom_site_fract_y
_atom_site_fract_z
_atom_site_occupancy
La1 0.075 0.169 0.000 1
Sn1 0.000 0.500 0.500 1
S1 0.000 0.000 0.500 1
S2 0.144 0.705 0.500 1
S3 0.194 0.433 0.000 1
```

## Properties
Total magnetization ... 0.00 Bohr magnetons per cell
Calculated total energy ... -6.204 eV per atom
Crystal system ... orthorhombic
D(E_F) ... 0.447 states/eV/f.u.
Formation energy without anion corrections ... -1.5952 eV per atom

***

(7)
## SrNiBr2 (GGA-PBEsol)

Data for a relaxed SrNiBr2 crystal.

Cell and atoms, written as CIF:
```
data_SrNiBr2
_space_group_name_H-M_alt 'P 1 2/m 1'
_space_group_IT_number 10
_space_group_name_Hall '-P 2y'
_cell_length_a 3.828
_cell_length_b 3.847
_cell_length_c 6.406
_cell_angle_alpha 90.00
_cell_angle_beta 103.53
_cell_angle_gamma 90.00
loop_
_atom_site_label
_atom_site_fract_x
_atom_site_fract_y
_atom_site_fract_z
_atom_site_occupancy
Sr1 0.000 0.000 0.000 1
Ni1 0.500 0.000 0.500 1
Br1 0.406 0.500 0.727 1
```

## Properties
Total magnetization ... 0.09 Bohr magnetons per cell
Calculated total energy ... -3.662 eV per atom
Crystal system ... monoclinic
D(E_F) ... 1.944 states/eV/f.u.
Polymorph energy (0 for the lowest one) ... 0.000 eV/f.u.
Formation energy without anion corrections ... -0.7274 eV per atom

***

(8)
## BiPNO2 (GGA-PBEsol)

Data for a relaxed BiPNO2 crystal.

Cell and atoms, written as CIF:
```
data_BiPNO2
_space_group_name_H-M_alt 'P 4/m m m'
_space_group_IT_number 123
_space_group_name_Hall '-P 4 2'
_cell_length_a 4.110
_cell_length_b 4.110
_cell_length_c 4.314
_cell_angle_alpha 90.00
_cell_angle_beta 90.00
_cell_angle_gamma 90.00
loop_
_atom_site_label
_atom_site_fract_x
_atom_site_fract_y
_atom_site_fract_z
_atom_site_occupancy
Bi1 0.000 0.000 0.000 1
P1 0.500 0.500 0.500 1
N1 0.000 0.000 0.500 1
O1 0.000 0.500 0.000 1
```

## Properties
Total magnetization ... 0.34 Bohr magnetons per cell
Calculated total energy ... -4.992 eV per atom
Crystal system ... tetragonal
D(E_F) ... 2.139 states/eV/f.u.
Formation energy without anion corrections ... 0.8280 eV per atom

***

(9)
## NaSb2Pd2 (GGA-PBEsol)

Data for a relaxed NaSb2Pd2 crystal.

Cell and atoms, written as CIF:
```
data_NaSb2Pd2
_space_group_name_H-M_alt 'I 4/m m m'
_space_group_IT_number 139
_space_group_name_Hall '-I 4 2'
_cell_length_a 4.523
_cell_length_b 4.523
_cell_length_c 11.043
_cell_angle_alpha 90.00
_cell_angle_beta 90.00
_cell_angle_gamma 90.00
loop_
_atom_site_label
_atom_site_fract_x
_atom_site_fract_y
_atom_site_fract_z
_atom_site_occupancy
Na1 0.000 0.000 0.000 1
Sb1 0.000 0.000 0.370 1
Pd1 0.000 0.500 0.250 1
```

## Properties
Total magnetization ... 0.00 Bohr magnetons per cell
Calculated total energy ... -4.885 eV per atom
Crystal system ... tetragonal
D(E_F) ... 2.450 states/eV/f.u.
Polymorph energy (0 for the lowest one) ... 0.000 eV/f.u.
Formation energy without anion corrections ... -0.3982 eV per atom

***

(10)
## CsIOF4 (GGA-PBEsol)

Data for a relaxed CsIOF4 crystal.

Cell and atoms, written as CIF:
```
data_CsIOF4
_space_group_name_H-M_alt 'P n m a'
_space_group_IT_number 62
_space_group_name_Hall '-P 2ac 2n'
_cell_length_a 6.126
_cell_length_b 6.011
_cell_length_c 15.246
_cell_angle_alpha 90.00
_cell_angle_beta 90.00
_cell_angle_gamma 90.00
loop_
_atom_site_label
_atom_site_fract_x
_atom_site_fract_y
_atom_site_fract_z
_atom_site_occupancy
Cs1 0.220 0.250 0.102 1
I1 0.224 0.250 0.837 1
O1 0.017 0.750 0.099 1
F1 0.087 0.016 0.760 1
F2 0.153 0.518 0.416 1
```

## Properties
Total magnetization ... 0.55 Bohr magnetons per cell
Calculated total energy ... -4.092 eV per atom
Crystal system ... orthorhombic
D(E_F) ... 0.000 states/eV/f.u.
Formation energy without anion corrections ... -1.8534 eV per atom

***

(11)
## TiCI2 (GGA-PBEsol)

Data for a relaxed TiCI2 crystal.

Cell and atoms, written as CIF:
```
data_TiCI2
_space_group_name_H-M_alt 'F m -3 m'
_space_group_IT_number 225
_space_group_name_Hall '-F 4 2 3'
_cell_length_a 6.740
_cell_length_b 6.740
_cell_length_c 6.740
_cell_angle_alpha 90.00
_cell_angle_beta 90.00
_cell_angle_gamma 90.00
loop_
_atom_site_label
_atom_site_fract_x
_atom_site_fract_y
_atom_site_fract_z
_atom_site_occupancy
Ti1 0.000 0.000 0.000 1
C1 0.000 0.000 0.500 1
I1 0.250 0.250 0.250 1
```

## Properties
Total magnetization ... 0.04 Bohr magnetons per cell
Calculated total energy ... -4.065 eV per atom
Crystal system ... cubic
D(E_F) ... 2.842 states/eV/f.u.
Formation energy without anion corrections ... 1.3096 eV per atom